VASP calculation (PBE-GGA) on a relaxed KAuBrF2 crystal.

CIF file:
```
data_KAuBrF2
_chemical_formula_sum 'K1 Au1 Br1 F2'
_space_group_name_H-M_alt 'P 4/m m m'
_space_group_IT_number 123
_space_group_name_Hall '-P 4 2'
_cell_length_a 4.5753
_cell_length_b 4.5753
_cell_length_c 5.2711
_cell_angle_alpha 90.00
_cell_angle_beta 90.00
_cell_angle_gamma 90.00
loop_
_atom_site_label
_atom_site_fract_x
_atom_site_fract_y
_atom_site_fract_z
_atom_site_occupancy
K1 0.0000 0.0000 0.0000 1
Au1 0.5000 0.5000 0.5000 1
Br1 0.5000 0.5000 0.0000 1
F1 0.0000 0.5000 0.5000 1
```

## Properties
Energy relative to the elements, uncorrected (meV/atom): -1302
Final energy (eV per atom): -3.2599



VASP calculation (PBE-GGA) on a relaxed MgAuBr2F crystal.

CIF file:
```
data_MgAuBr2F
_chemical_formula_sum 'Mg1 Au1 Br2 F1'
_space_group_name_H-M_alt 'P 4/m m m'
_space_group_IT_number 123
_space_group_name_Hall '-P 4 2'
_cell_length_a 4.9710
_cell_length_b 4.9710
_cell_length_c 5.6291
_cell_angle_alpha 90.00
_cell_angle_beta 90.00
_cell_angle_gamma 90.00
loop_
_atom_site_label
_atom_site_fract_x
_atom_site_fract_y
_atom_site_fract_z
_atom_site_occupancy
Mg1 0.0000 0.0000 0.0000 1
Au1 0.0000 0.0000 0.5000 1
Br1 0.0000 0.5000 0.0000 1
F1 0.5000 0.5000 0.5000 1
```

## Properties
Energy relative to the elements, uncorrected (meV/atom): -241
Final energy (eV per atom): -2.2584



VASP calculation (PBE-GGA) on a relaxed NaAuBr2F crystal.

CIF file:
```
data_NaAuBr2F
_chemical_formula_sum 'Na1 Au1 Br2 F1'
_space_group_name_H-M_alt 'P 4/m m m'
_space_group_IT_number 123
_space_group_name_Hall '-P 4 2'
_cell_length_a 5.3864
_cell_length_b 5.3864
_cell_length_c 4.3743
_cell_angle_alpha 90.00
_cell_angle_beta 90.00
_cell_angle_gamma 90.00
loop_
_atom_site_label
_atom_site_fract_x
_atom_site_fract_y
_atom_site_fract_z
_atom_site_occupancy
Na1 0.0000 0.0000 0.0000 1
Au1 0.5000 0.5000 0.5000 1
Br1 0.0000 0.5000 0.5000 1
F1 0.5000 0.5000 0.0000 1
```

## Properties
Energy relative to the elements, uncorrected (meV/atom): -891
Final energy (eV per atom): -2.8533